## A
Here is a relaxed ZnNiTe2 crystal from Alexandria via LeMat-Bulk. Energies are from GGA-PBE.

Geometry as CIF:
```
data_ZnNiTe2
_chemical_formula_sum 'Zn1 Ni1 Te2'
_symmetry_space_group_name_H-M 'P 1'
_symmetry_Int_Tables_number 1
_cell_length_a 3.295
_cell_length_b 3.295
_cell_length_c 7.782
_cell_angle_alpha 90.00
_cell_angle_beta 90.00
_cell_angle_gamma 90.00
loop_
_symmetry_equiv_pos_as_xyz
'x,y,z'
loop_
_atom_site_label
_atom_site_fract_x
_atom_site_fract_y
_atom_site_fract_z
Te1 0.000 0.000 0.540
Te2 0.000 0.000 0.960
Ni1 0.500 0.500 0.750
Zn1 0.500 0.500 0.250
```

- total magnetization (Bohr magnetons per cell) = 0.00

=====

## B
Here is a relaxed ZnNiTe2 crystal from Alexandria via LeMat-Bulk. Energies are from GGA-PBE.

Geometry as CIF:
```
data_ZnNiTe2
_chemical_formula_sum 'Zn1 Ni1 Te2'
_symmetry_space_group_name_H-M 'P 1'
_symmetry_Int_Tables_number 1
_cell_length_a 3.063
_cell_length_b 5.172
_cell_length_c 5.172
_cell_angle_alpha 90.00
_cell_angle_beta 90.00
_cell_angle_gamma 90.00
loop_
_symmetry_equiv_pos_as_xyz
'x,y,z'
loop_
_atom_site_label
_atom_site_fract_x
_atom_site_fract_y
_atom_site_fract_z
Zn1 0.500 0.500 0.000
Te1 0.000 0.500 0.500
Te2 0.000 0.000 0.000
Ni1 0.500 0.000 0.500
```

- total magnetization (Bohr magnetons per cell) = 0.00

=====

Least stable structure: B

=====

## A
Here is a relaxed ZnNiTe crystal from Alexandria via LeMat-Bulk. Energies are from GGA-PBE.

Geometry as CIF:
```
data_ZnNiTe
_chemical_formula_sum 'Zn2 Ni2 Te2'
_symmetry_space_group_name_H-M 'P 1'
_symmetry_Int_Tables_number 1
_cell_length_a 4.625
_cell_length_b 4.143
_cell_length_c 5.865
_cell_angle_alpha 90.00
_cell_angle_beta 95.33
_cell_angle_gamma 90.00
loop_
_symmetry_equiv_pos_as_xyz
'x,y,z'
loop_
_atom_site_label
_atom_site_fract_x
_atom_site_fract_y
_atom_site_fract_z
Te1 0.694 0.750 0.748
Ni1 0.835 0.250 0.459
Ni2 0.165 0.750 0.541
Zn1 0.786 0.750 0.211
Zn2 0.214 0.250 0.789
Te2 0.306 0.250 0.252
```

- total magnetization (Bohr magnetons per cell) = 0.00

=====

## B
Here is a relaxed ZnNiTe crystal from Alexandria via LeMat-Bulk. Energies are from GGA-PBE.

Geometry as CIF:
```
data_ZnNiTe
_chemical_formula_sum 'Zn4 Ni4 Te4'
_symmetry_space_group_name_H-M 'P 1'
_symmetry_Int_Tables_number 1
_cell_length_a 6.299
_cell_length_b 5.740
_cell_length_c 6.613
_cell_angle_alpha 90.00
_cell_angle_beta 110.29
_cell_angle_gamma 90.00
loop_
_symmetry_equiv_pos_as_xyz
'x,y,z'
loop_
_atom_site_label
_atom_site_fract_x
_atom_site_fract_y
_atom_site_fract_z
Zn1 0.272 0.358 0.909
Te1 0.205 0.826 0.827
Zn2 0.728 0.358 0.091
Zn3 0.728 0.858 0.591
Ni1 0.544 0.061 0.821
Zn4 0.272 0.858 0.409
Te2 0.795 0.826 0.173
Te3 0.205 0.326 0.327
Te4 0.795 0.326 0.673
Ni2 0.456 0.061 0.179
Ni3 0.544 0.561 0.321
Ni4 0.456 0.561 0.679
```

- total magnetization (Bohr magnetons per cell) = 0.00

=====

Least stable structure: A

=====

## A
Here is a relaxed ZnNi2Te2 crystal from Alexandria via LeMat-Bulk. Energies are from GGA-PBE.

Geometry as CIF:
```
data_ZnNi2Te2
_chemical_formula_sum 'Zn2 Ni4 Te4'
_symmetry_space_group_name_H-M 'P 1'
_symmetry_Int_Tables_number 1
_cell_length_a 6.953
_cell_length_b 6.953
_cell_length_c 3.676
_cell_angle_alpha 90.00
_cell_angle_beta 90.00
_cell_angle_gamma 90.00
loop_
_symmetry_equiv_pos_as_xyz
'x,y,z'
loop_
_atom_site_label
_atom_site_fract_x
_atom_site_fract_y
_atom_site_fract_z
Zn1 0.000 0.000 0.000
Ni1 0.630 0.130 0.000
Te1 0.828 0.328 0.500
Ni2 0.870 0.630 0.000
Te2 0.172 0.672 0.500
Ni3 0.130 0.370 0.000
Ni4 0.370 0.870 0.000
Te3 0.328 0.172 0.500
Zn2 0.500 0.500 0.000
Te4 0.672 0.828 0.500
```

- total magnetization (Bohr magnetons per cell) = 0.00

=====

## B
Here is a relaxed ZnNi2Te2 crystal from Alexandria via LeMat-Bulk. Energies are from GGA-PBE.

Geometry as CIF:
```
data_ZnNi2Te2
_chemical_formula_sum 'Zn1 Ni2 Te2'
_symmetry_space_group_name_H-M 'P 1'
_symmetry_Int_Tables_number 1
_cell_length_a 3.689
_cell_length_b 3.689
_cell_length_c 7.997
_cell_angle_alpha 76.66
_cell_angle_beta 76.66
_cell_angle_gamma 90.00
loop_
_symmetry_equiv_pos_as_xyz
'x,y,z'
loop_
_atom_site_label
_atom_site_fract_x
_atom_site_fract_y
_atom_site_fract_z
Ni1 0.750 0.250 0.500
Te1 0.634 0.634 0.732
Ni2 0.250 0.750 0.500
Zn1 0.000 0.000 0.000
Te2 0.366 0.366 0.268
```

- total magnetization (Bohr magnetons per cell) = 0.17

=====

Least stable structure: A